1.
# Zr6C3N, relaxed, DFT GGA-PBE
# VASP energy = -9.519 eV per atom
# crystal system = trigonal
# E_form (uncorrected) = -7.91 eV per formula unit
data_Zr6C3N
_symmetry_space_group_name_H-M 'R 3'
_symmetry_Int_Tables_number 146
_symmetry_space_group_name_Hall 'R 3'
_cell_length_a 5.7506
_cell_length_b 5.7506
_cell_length_c 16.1041
_cell_angle_alpha 90.00
_cell_angle_beta 90.00
_cell_angle_gamma 120.00
loop_
_atom_site_label
_atom_site_fract_x
_atom_site_fract_y
_atom_site_fract_z
Zr1 0.0007 0.6777 0.0000
Zr2 0.0030 0.3272 0.5001
C1 0.0000 0.0000 0.0895
C2 0.0000 0.0000 0.4112
C3 0.0000 0.0000 0.5886
N1 0.0000 0.0000 0.9113

***

2.
# Zr2CN, relaxed, DFT GGA-PBE
# VASP energy = -9.754 eV per atom
# crystal system = hexagonal
# E_form (uncorrected) = -4.37 eV per formula unit
data_Zr2CN
_symmetry_space_group_name_H-M 'P -6 m 2'
_symmetry_Int_Tables_number 187
_symmetry_space_group_name_Hall 'P -6 2'
_cell_length_a 3.8459
_cell_length_b 3.8459
_cell_length_c 4.6672
_cell_angle_alpha 90.00
_cell_angle_beta 90.00
_cell_angle_gamma 120.00
loop_
_atom_site_label
_atom_site_fract_x
_atom_site_fract_y
_atom_site_fract_z
Zr1 0.0000 0.0000 0.0000
Zr2 0.3333 0.6667 0.5000
C1 0.0000 0.0000 0.5000
N1 0.3333 0.6667 0.0000

***

3.
# Zr2CN, relaxed, DFT GGA-PBE
# VASP energy = -9.952 eV per atom
# crystal system = trigonal
# E_form (uncorrected) = -5.16 eV per formula unit
data_Zr2CN
_symmetry_space_group_name_H-M 'R -3 m'
_symmetry_Int_Tables_number 166
_symmetry_space_group_name_Hall '-R 3 2"'
_cell_length_a 3.3061
_cell_length_b 3.3061
_cell_length_c 16.1783
_cell_angle_alpha 90.00
_cell_angle_beta 90.00
_cell_angle_gamma 120.00
loop_
_atom_site_label
_atom_site_fract_x
_atom_site_fract_y
_atom_site_fract_z
Zr1 0.0000 0.0000 0.2491
C1 0.0000 0.0000 0.5000
N1 0.0000 0.0000 0.0000

***

4.
# Zr2CN, relaxed, DFT GGA-PBE
# VASP energy = -9.506 eV per atom
# crystal system = tetragonal
# E_form (uncorrected) = -3.38 eV per formula unit
data_Zr2CN
_symmetry_space_group_name_H-M 'I -4 2 d'
_symmetry_Int_Tables_number 122
_symmetry_space_group_name_Hall 'I -4 2bw'
_cell_length_a 5.038
_cell_length_b 5.038
_cell_length_c 10.121
_cell_angle_alpha 90.00
_cell_angle_beta 90.00
_cell_angle_gamma 90.00
loop_
_atom_site_label
_atom_site_fract_x
_atom_site_fract_y
_atom_site_fract_z
Zr1 0.244 0.250 0.125
C1 0.000 0.000 0.500
N1 0.000 0.000 0.000

***

5.
# Zr6CN5, relaxed, DFT GGA-PBE
# VASP energy = -10.077 eV per atom
# crystal system = monoclinic
# E_form (uncorrected) = -18.79 eV per formula unit
data_Zr6CN5
_symmetry_space_group_name_H-M 'C 1 2/m 1'
_symmetry_Int_Tables_number 12
_symmetry_space_group_name_Hall '-C 2y'
_cell_length_a 5.674
_cell_length_b 9.833
_cell_length_c 5.682
_cell_angle_alpha 90.00
_cell_angle_beta 109.44
_cell_angle_gamma 90.00
loop_
_atom_site_label
_atom_site_fract_x
_atom_site_fract_y
_atom_site_fract_z
Zr1 0.247 0.165 0.249
Zr2 0.248 0.000 0.755
C1 0.000 0.000 0.000
N1 0.000 0.166 0.500
N2 0.000 0.333 0.000
N3 0.000 0.500 0.500

***

6.
# Zr8C2N3, relaxed, DFT GGA-PBE
# VASP energy = -9.652 eV per atom
# crystal system = monoclinic
# E_form (uncorrected) = -13.66 eV per formula unit
data_Zr8C2N3
_symmetry_space_group_name_H-M 'C 1 2/m 1'
_symmetry_Int_Tables_number 12
_symmetry_space_group_name_Hall '-C 2y'
_cell_length_a 10.774
_cell_length_b 6.613
_cell_length_c 5.656
_cell_angle_alpha 90.00
_cell_angle_beta 91.36
_cell_angle_gamma 90.00
loop_
_atom_site_label
_atom_site_fract_x
_atom_site_fract_y
_atom_site_fract_z
Zr1 0.115 0.000 0.177
Zr2 0.120 0.500 0.163
Zr3 0.129 0.243 0.667
C1 0.240 0.500 0.501
N1 0.000 0.000 0.500
N2 0.000 0.250 0.000

***

no.,magnetic moment (μB/cell),V (Å³/f.u.)
1,0.00,153.7
2,0.00,59.8
3,0.00,51.0
4,0.00,64.2
5,0.00,149.5
6,0.00,201.4